The following is a DFT calculation (PBE) of crystalline TaAgS2 at its relaxed geometry.

Computed properties:
- Final energy: -47.6 eV for the cell shown
- Energy relative to the elements, uncorrected: -82 kJ/mol of formula units
- DOS at the Fermi energy: 0.288 states/eV per atom

a b c (Å): 6.6526 6.6526 6.6526
angles (deg): 127.20 127.20 77.92
Last column: nearest neighbours and their distance in Å.
Element x y z (fractional)
Ta (0.0000, 0.0000, 0.0000)  4 S 2.37
Ta (0.7500, 0.2500, 0.5000)  4 S 2.37
Ag (0.2500, 0.7500, 0.5000)  4 S 2.56
Ag (0.5000, 0.5000, 0.0000)  4 S 2.56
S (0.0977, 0.6250, 0.9727)  2 Ta 2.37, 2 Ag 2.56
S (0.3750, 0.3477, 0.4727)  2 Ta 2.37, 2 Ag 2.56
S (0.6523, 0.1250, 0.0273)  2 Ta 2.37, 2 Ag 2.56
S (0.8750, 0.9023, 0.5273)  2 Ta 2.37, 2 Ag 2.56